First-principles (meta-GGA SCAN) data for a PBEsol-optimized structure of HgGe2OsO, as listed in Alexandria via LeMat-Bulk.

ρ, g/cm³: 10.664
Raw total energy, eV/cell: -181.86
ΔE_f (raw), eV per atom: 0.5194

Cell lengths 4.7878, 4.7878, 3.7505 Å; angles 90.00, 90.00, 90.00 degrees
With the nearest neighbours (Å) after each atom.
Space group P4/mmm (No. 123)
Inequivalent atoms, fractional coordinates:
Hg: 0.0000 0.0000 0.0000 [1 per cell]  8 Ge 3.04, 4 Os 3.39
Ge: 0.0000 0.5000 0.5000 [2 per cell]  2 O 2.39
Os: 0.5000 0.5000 0.0000 [1 per cell]  2 O 1.88
O: 0.5000 0.5000 0.5000 [1 per cell]  2 Os 1.88